No. 1
DFT (GGA-PBEsol) results for a relaxed DyInPd2 crystal.

Properties
* energy relative to the elements: -0.834 eV/atom

```
data_DyInPd2
_chemical_formula_sum 'Dy4 In4 Pd8'
_symmetry_space_group_name_H-M 'F m -3 m'
_symmetry_Int_Tables_number 225
_symmetry_space_group_name_Hall '-F 4 2 3'
_cell_length_a 6.674
_cell_length_b 6.674
_cell_length_c 6.674
_cell_angle_alpha 90.00
_cell_angle_beta 90.00
_cell_angle_gamma 90.00
loop_
_atom_site_label
_atom_site_type_symbol
_atom_site_fract_x
_atom_site_fract_y
_atom_site_fract_z
Dy1 Dy 0.000 0.000 0.000
In1 In 0.000 0.000 0.500
Pd1 Pd 0.250 0.250 0.250
```

No. 2
DFT (GGA-PBEsol) results for a relaxed PrDyIn2 crystal.

Properties
* energy relative to the elements: -0.519 eV/atom

```
data_PrDyIn2
_chemical_formula_sum 'Pr4 Dy4 In8'
_symmetry_space_group_name_H-M 'F m -3 m'
_symmetry_Int_Tables_number 225
_symmetry_space_group_name_Hall '-F 4 2 3'
_cell_length_a 7.527
_cell_length_b 7.527
_cell_length_c 7.527
_cell_angle_alpha 90.00
_cell_angle_beta 90.00
_cell_angle_gamma 90.00
loop_
_atom_site_label
_atom_site_type_symbol
_atom_site_fract_x
_atom_site_fract_y
_atom_site_fract_z
Pr1 Pr 0.000 0.000 0.000
Dy1 Dy 0.000 0.000 0.500
In1 In 0.250 0.250 0.250
```

No. 3
DFT (GGA-PBEsol) results for a relaxed DyInPt2 crystal.

Properties
* energy relative to the elements: -0.961 eV/atom

```
data_DyInPt2
_chemical_formula_sum 'Dy2 In2 Pt4'
_symmetry_space_group_name_H-M 'P 63/m m c'
_symmetry_Int_Tables_number 194
_symmetry_space_group_name_Hall '-P 6c 2c'
_cell_length_a 4.5195
_cell_length_b 4.5195
_cell_length_c 8.8577
_cell_angle_alpha 90.00
_cell_angle_beta 90.00
_cell_angle_gamma 120.00
loop_
_atom_site_label
_atom_site_type_symbol
_atom_site_fract_x
_atom_site_fract_y
_atom_site_fract_z
Dy1 Dy 0.3333 0.6667 0.2500
In1 In 0.0000 0.0000 0.0000
Pt1 Pt 0.3333 0.6667 0.5910
```

No. 4
DFT (GGA-PBEsol) results for a relaxed DyIn7Pt2 crystal.

Properties
* energy relative to the elements: -0.433 eV/atom

```
data_DyIn7Pt2
_chemical_formula_sum 'Dy2 In14 Pt4'
_symmetry_space_group_name_H-M 'I 4/m m m'
_symmetry_Int_Tables_number 139
_symmetry_space_group_name_Hall '-I 4 2'
_cell_length_a 4.445
_cell_length_b 4.445
_cell_length_c 22.799
_cell_angle_alpha 90.00
_cell_angle_beta 90.00
_cell_angle_gamma 90.00
loop_
_atom_site_label
_atom_site_type_symbol
_atom_site_fract_x
_atom_site_fract_y
_atom_site_fract_z
Dy1 Dy 0.000 0.000 0.000
In1 In 0.000 0.000 0.500
In2 In 0.000 0.500 0.107
In3 In 0.000 0.500 0.250
Pt1 Pt 0.000 0.000 0.320
```